[1]
Material: MoRu2Rh
Method: DFT, SCAN
State: PBEsol geometry

Output
energy relative to the lowest polymorph listed for this composition: 0.0000 eV per atom

a b c (Å): 3.7868 3.8109 3.8109
angles (deg): 90.00 90.00 90.00
With the nearest neighbours (Å) after each atom.
Element x y z (fractional)
Mo (0.5000, 0.5000, 0.5000)  8 Ru 2.69, 4 Rh 2.69
Ru (0.0000, 0.5000, 0.0000)  4 Mo 2.69, 4 Rh 2.69, 4 Ru 2.69
Ru (0.0000, 0.0000, 0.5000)  4 Mo 2.69, 4 Rh 2.69, 4 Ru 2.69
Rh (0.5000, 0.0000, 0.0000)  8 Ru 2.69, 4 Mo 2.69

[2]
Material: MoRu2Rh
Method: DFT, SCAN
State: PBEsol geometry

Output
energy relative to the lowest polymorph listed for this composition: 0.0368 eV per atom

a b c (Å): 3.8076 3.8076 4.6580
angles (deg): 114.12 114.12 90.00
With the nearest neighbours (Å) after each atom.
Element x y z (fractional)
Mo (0.0000, 0.0000, 0.0000)  8 Ru 2.69, 4 Rh 2.69
Ru (0.5000, 0.5000, 0.0000)  4 Ru 2.69, 4 Rh 2.69, 4 Mo 2.69
Ru (0.7500, 0.2500, 0.5000)  4 Ru 2.69, 4 Mo 2.69, 4 Rh 2.69
Rh (0.2500, 0.7500, 0.5000)  8 Ru 2.69, 4 Mo 2.69

[3]
Material: MoRu2Rh
Method: DFT, SCAN
State: PBEsol geometry

Output
energy relative to the lowest polymorph listed for this composition: 0.1188 eV per atom

a b c (Å): 2.6936 4.6617 4.6686
angles (deg): 99.73 106.77 90.00
With the nearest neighbours (Å) after each atom.
Element x y z (fractional)
Ru (0.9976, 0.9878, 0.9952)  5 Ru 2.63-2.69, 4 Mo 2.66-2.73, 3 Rh 2.72
Ru (0.2528, 0.7622, 0.5055)  5 Ru 2.63-2.69, 4 Rh 2.66-2.73, 3 Mo 2.72-2.73
Rh (0.7494, 0.2526, 0.4987)  7 Ru 2.66-2.73, 3 Mo 2.68-2.69, 2 Rh 2.69
Mo (0.5003, 0.4974, 0.0005)  7 Ru 2.66-2.73, 3 Rh 2.68-2.69, 2 Mo 2.69

[4]
Material: MoRu2Rh
Method: DFT, SCAN
State: PBEsol geometry

Output
energy relative to the lowest polymorph listed for this composition: 0.0715 eV per atom

a b c (Å): 3.8300 3.8300 4.6355
angles (deg): 114.40 114.40 90.00
With the nearest neighbours (Å) after each atom.
Element x y z (fractional)
Rh (0.0000, 0.0000, 0.0000)  8 Ru 2.68, 4 Mo 2.71
Ru (0.2500, 0.7500, 0.5000)  4 Mo 2.68, 4 Rh 2.68, 4 Ru 2.71
Ru (0.7500, 0.2500, 0.5000)  4 Mo 2.68, 4 Rh 2.68, 4 Ru 2.71
Mo (0.5000, 0.5000, 0.0000)  8 Ru 2.68, 4 Rh 2.71

[5]
Material: TaMo2RuRh
Method: DFT, SCAN
State: PBEsol geometry

Output
E_tot: -39.462 eV/atom

a b c (Å): 4.5271 4.5271 4.6738
angles (deg): 90.00 90.00 90.00
With the nearest neighbours (Å) after each atom.
Element x y z (fractional)
Mo (0.5000, 0.0000, 0.0000)  2 Ru 2.26
Mo (0.0000, 0.5000, 0.0000)  2 Ru 2.26
Ta (0.0000, 0.0000, 0.5000)  2 Ru 2.34
Ru (0.0000, 0.0000, 0.0000)  4 Mo 2.26, 2 Ta 2.34
Rh (0.5000, 0.5000, 0.5000)  4 Ta 3.20, 8 Mo 3.25

[6]
Material: TiMoRhS2
Method: DFT, SCAN
State: PBEsol geometry

Output
uncorrected formation energy: 0.40 eV/atom

a b c (Å): 4.4577 4.5162 4.5162
angles (deg): 90.00 90.00 90.00
With the nearest neighbours (Å) after each atom.
Element x y z (fractional)
Ti (0.0000, 0.0000, 0.0000)  2 Rh 2.23, 4 S 2.26
S (0.0000, 0.0000, 0.5000)  2 Ti 2.26
S (0.0000, 0.5000, 0.0000)  2 Ti 2.26
Rh (0.5000, 0.0000, 0.0000)  2 Ti 2.23
Mo (0.5000, 0.5000, 0.5000)  8 S 3.17, 4 Rh 3.19

[7]
Material: SbMo2Rh
Method: DFT, SCAN
State: PBEsol geometry

Output
uncorrected formation energy: 0.13 eV/atom

a b c (Å): 4.4824 4.4824 4.4824
angles (deg): 60.00 60.00 60.00
With the nearest neighbours (Å) after each atom.
Element x y z (fractional)
Mo (0.0000, 0.0000, 0.0000)  4 Mo 2.74, 4 Sb 2.74
Mo (0.7500, 0.7500, 0.7500)  4 Mo 2.74, 4 Rh 2.74
Rh (0.5000, 0.5000, 0.5000)  4 Sb 2.74, 4 Mo 2.74
Sb (0.2500, 0.2500, 0.2500)  4 Mo 2.74, 4 Rh 2.74

[8]
Material: SbMo2Rh
Method: DFT, SCAN
State: PBEsol geometry

Output
uncorrected formation energy: 0.09 eV/atom

a b c (Å): 3.0998 4.4571 5.0040
angles (deg): 101.53 108.04 90.00
With the nearest neighbours (Å) after each atom.
Element x y z (fractional)
Mo (0.7455, 0.7282, 0.4911)  4 Mo 2.57-2.86, 3 Rh 2.81-2.82, 1 Sb 2.85
Mo (0.2545, 0.2718, 0.5089)  4 Mo 2.57-2.86, 3 Rh 2.81-2.82, 1 Sb 2.85
Sb (0.5000, 0.0000, 0.0000)  4 Rh 2.71, 6 Mo 2.85-2.92
Rh (0.0000, 0.5000, 0.0000)  4 Sb 2.71, 6 Mo 2.81-2.82

[9]
Material: SnSb2MoRh
Method: DFT, SCAN
State: PBEsol geometry

Output
uncorrected formation energy: 1.48 eV/atom

a b c (Å): 4.7659 5.4144 5.4144
angles (deg): 90.00 90.00 90.00
With the nearest neighbours (Å) after each atom.
Element x y z (fractional)
Sb (0.0000, 0.5000, 0.0000)  2 Sn 2.71
Sb (0.0000, 0.0000, 0.5000)  2 Sn 2.71
Rh (0.5000, 0.0000, 0.0000)  2 Sn 2.38
Sn (0.0000, 0.0000, 0.0000)  2 Rh 2.38
Mo (0.5000, 0.5000, 0.5000)  8 Sb 3.61, 4 Rh 3.83

[10]
Material: SbTe2MoRh
Method: DFT, SCAN
State: PBEsol geometry

Output
uncorrected formation energy: 0.79 eV/atom

a b c (Å): 4.8727 5.1826 5.1826
angles (deg): 90.00 90.00 90.00
With the nearest neighbours (Å) after each atom.
Element x y z (fractional)
Mo (0.5000, 0.5000, 0.5000)  8 Te 3.56, 4 Sb 3.66
Rh (0.0000, 0.0000, 0.0000)  2 Sb 2.44, 4 Te 2.59
Sb (0.5000, 0.0000, 0.0000)  2 Rh 2.44
Te (0.0000, 0.5000, 0.0000)  2 Rh 2.59
Te (0.0000, 0.0000, 0.5000)  2 Rh 2.59

[11]
Material: Sc2MoRh
Method: DFT, SCAN
State: PBEsol geometry

Output
E_tot: -24.444 eV/atom

a b c (Å): 3.1788 4.9358 5.1954
angles (deg): 118.36 107.81 90.00
With the nearest neighbours (Å) after each atom.
Element x y z (fractional)
Mo (0.5000, 0.0000, 0.0000)  4 Sc 2.73, 4 Rh 2.94
Sc (0.7406, 0.7406, 0.4811)  2 Rh 2.60, 2 Mo 2.73
Sc (0.2594, 0.2594, 0.5189)  2 Rh 2.60, 2 Mo 2.73
Rh (0.0000, 0.5000, 0.0000)  4 Sc 2.60

[12]
Material: Sc2MoRh
Method: DFT, SCAN
State: PBEsol geometry

Output
E_tot: -24.479 eV/atom

a b c (Å): 2.9312 2.9312 8.4487
angles (deg): 90.00 90.00 90.00
With the nearest neighbours (Å) after each atom.
Element x y z (fractional)
Mo (0.0000, 0.0000, 0.5322)  4 Rh 2.66, 4 Sc 2.92, 4 Mo 2.93
Sc (0.0000, 0.0000, 0.9496)  4 Rh 2.78, 4 Sc 2.93
Sc (0.5000, 0.5000, 0.2887)  4 Mo 2.92, 4 Sc 2.93
Rh (0.5000, 0.5000, 0.7295)  4 Mo 2.66, 4 Sc 2.78, 4 Rh 2.93

What did the fifth record say?
Material: TaMo2RuRh
Method: DFT, SCAN
State: PBEsol geometry

Output
E_tot: -39.462 eV/atom

a b c (Å): 4.5271 4.5271 4.6738
angles (deg): 90.00 90.00 90.00
With the nearest neighbours (Å) after each atom.
Element x y z (fractional)
Mo (0.5000, 0.0000, 0.0000)  2 Ru 2.26
Mo (0.0000, 0.5000, 0.0000)  2 Ru 2.26
Ta (0.0000, 0.0000, 0.5000)  2 Ru 2.34
Ru (0.0000, 0.0000, 0.0000)  4 Mo 2.26, 2 Ta 2.34
Rh (0.5000, 0.5000, 0.5000)  4 Ta 3.20, 8 Mo 3.25

What is the formula in the tenth record?
SbTe2MoRh